{"formula": "AgHg2TeO6", "functional": "GGA-PBE", "state": "relaxed", "lattice_angstrom": [[5.331, -2.802, 0.000], [5.331, 2.802, 0.000], [-2.665, 0.000, 4.730]], "species": ["Ag", "Hg", "Hg", "Te", "O", "O", "O", "O", "O", "O"], "frac_coords": [[0.000, 0.000, 0.000], [0.242, 0.242, 0.720], [0.758, 0.758, 0.280], [0.500, 0.500, 0.500], [0.175, 0.666, 0.653], [0.310, 0.310, 0.169], [0.334, 0.825, 0.347], [0.666, 0.175, 0.653], [0.690, 0.690, 0.831], [0.825, 0.334, 0.347]], "space_group": "C2/m (12)", "e_form_raw_ev_per_atom": -0.48, "total_energy_ev_per_cell": -41.2, "total_magnetization_mub_per_fu": 0.0}

{"formula": "UInFeRu", "functional": "GGA-PBE", "state": "relaxed", "lattice_angstrom": [[6.548, 0.000, 0.000], [0.000, 6.548, 0.000], [0.000, 0.000, 6.548]], "species": ["U", "U", "U", "U", "In", "In", "In", "In", "Fe", "Fe", "Fe", "Fe", "Ru", "Ru", "Ru", "Ru"], "frac_coords": [[0.000, 0.000, 0.000], [0.000, 0.500, 0.500], [0.500, 0.000, 0.500], [0.500, 0.500, 0.000], [0.000, 0.000, 0.500], [0.000, 0.500, 0.000], [0.500, 0.000, 0.000], [0.500, 0.500, 0.500], [0.250, 0.250, 0.750], [0.250, 0.750, 0.250], [0.750, 0.250, 0.250], [0.750, 0.750, 0.750], [0.250, 0.250, 0.250], [0.250, 0.750, 0.750], [0.750, 0.250, 0.750], [0.750, 0.750, 0.250]], "space_group": "F-43m (216)", "formation_enthalpy_0k_kcal_per_mol_atoms": -0.078, "total_energy_ev_per_cell": -127.1, "total_magnetization_mub_per_fu": 0.9}

{"formula": "BaBrF", "functional": "GGA-PBE", "state": "relaxed", "lattice_angstrom": [[4.478, 0.000, 0.000], [-2.239, 3.878, 0.000], [0.000, 0.000, 4.834]], "species": ["Ba", "Br", "F"], "frac_coords": [[0.000, 0.000, 0.000], [0.667, 0.333, 0.500], [0.333, 0.667, 0.000]], "e_above_lowest_polymorph_ev_per_fu": 0.20, "space_group": "P-6m2 (187)", "e_form_raw_ev_per_atom": -3.03, "total_energy_ev_per_cell": -14.5, "total_magnetization_mub_per_fu": 0.0}

{"formula": "CaAc2PaO6", "functional": "GGA-PBE", "state": "relaxed", "lattice_angstrom": [[6.100, 0.000, 0.000], [0.000, 6.264, 0.000], [-6.018, 0.000, 8.846]], "species": ["Ca", "Ca", "Ac", "Ac", "Ac", "Ac", "Pa", "Pa", "O", "O", "O", "O", "O", "O", "O", "O", "O", "O", "O", "O"], "frac_coords": [[0.000, 0.000, 0.000], [0.000, 0.500, 0.500], [0.229, 0.049, 0.747], [0.229, 0.451, 0.247], [0.771, 0.549, 0.753], [0.771, 0.951, 0.253], [0.500, 0.000, 0.500], [0.500, 0.500, 0.000], [0.143, 0.195, 0.437], [0.143, 0.305, 0.937], [0.229, 0.709, 0.425], [0.229, 0.791, 0.925], [0.384, 0.058, 0.259], [0.384, 0.442, 0.759], [0.616, 0.558, 0.241], [0.616, 0.942, 0.741], [0.771, 0.209, 0.075], [0.771, 0.291, 0.575], [0.857, 0.695, 0.063], [0.857, 0.805, 0.563]], "space_group": "P2_1/c (14)", "e_form_raw_ev_per_atom": -3.30, "total_energy_ev_per_cell": -164.9, "total_magnetization_mub_per_fu": 1.0}

{"formula": "Ac3DyB2N6", "functional": "GGA-PBE", "state": "relaxed", "lattice_angstrom": [[5.751, 0.000, 0.000], [-2.875, 4.980, 0.000], [0.000, 0.000, 6.656]], "species": ["Ac", "Ac", "Ac", "Dy", "B", "B", "N", "N", "N", "N", "N", "N"], "frac_coords": [[0.000, 0.000, 0.000], [0.333, 0.667, 0.674], [0.667, 0.333, 0.326], [0.000, 0.000, 0.500], [0.333, 0.667, 0.261], [0.667, 0.333, 0.739], [0.186, 0.371, 0.281], [0.186, 0.814, 0.281], [0.371, 0.186, 0.719], [0.629, 0.814, 0.281], [0.814, 0.186, 0.719], [0.814, 0.629, 0.719]], "space_group": "P-3m1 (164)", "e_form_raw_ev_per_atom": -1.20, "total_energy_ev_per_cell": -94.7, "total_magnetization_mub_per_fu": 0.0}

{"formula": "SrTbInAu", "functional": "GGA-PBE", "state": "relaxed", "lattice_angstrom": [[7.633, 0.000, 0.000], [0.000, 7.633, 0.000], [0.000, 0.000, 7.633]], "species": ["Sr", "Sr", "Sr", "Sr", "Tb", "Tb", "Tb", "Tb", "In", "In", "In", "In", "Au", "Au", "Au", "Au"], "frac_coords": [[0.000, 0.000, 0.000], [0.000, 0.500, 0.500], [0.500, 0.000, 0.500], [0.500, 0.500, 0.000], [0.000, 0.000, 0.500], [0.000, 0.500, 0.000], [0.500, 0.000, 0.000], [0.500, 0.500, 0.500], [0.250, 0.250, 0.250], [0.250, 0.750, 0.750], [0.750, 0.250, 0.750], [0.750, 0.750, 0.250], [0.250, 0.250, 0.750], [0.250, 0.750, 0.250], [0.750, 0.250, 0.250], [0.750, 0.750, 0.750]], "space_group": "F-43m (216)", "formation_enthalpy_0k_kcal_per_mol_atoms": -11.956, "total_energy_ev_per_cell": -57.6, "total_magnetization_mub_per_fu": 0.0}

{"formula": "TaRe2B", "functional": "GGA-PBE", "state": "relaxed", "lattice_angstrom": [[2.933, 0.000, 0.000], [-1.466, 2.540, 0.000], [0.000, 0.000, 23.691]], "species": ["Ta", "Ta", "Ta", "Re", "Re", "Re", "Re", "Re", "Re", "B", "B", "B"], "frac_coords": [[0.000, 0.000, 0.000], [0.333, 0.667, 0.667], [0.667, 0.333, 0.333], [0.000, 0.000, 0.111], [0.000, 0.000, 0.889], [0.333, 0.667, 0.556], [0.333, 0.667, 0.777], [0.667, 0.333, 0.223], [0.667, 0.333, 0.444], [0.000, 0.000, 0.500], [0.333, 0.667, 0.167], [0.667, 0.333, 0.833]], "space_group": "R-3m (166)", "formation_enthalpy_0k_kcal_per_mol_atoms": 10.156, "total_energy_ev_per_cell": -125.0, "total_magnetization_mub_per_fu": 0.0}

{"formula": "AcSmHg4", "functional": "GGA-PBE", "state": "relaxed", "lattice_angstrom": [[4.597, 0.000, 0.000], [0.000, 4.597, 0.000], [0.000, 0.000, 9.234]], "species": ["Ac", "Sm", "Hg", "Hg", "Hg", "Hg"], "frac_coords": [[0.000, 0.000, 0.000], [0.500, 0.500, 0.500], [0.000, 0.500, 0.267], [0.000, 0.500, 0.733], [0.500, 0.000, 0.267], [0.500, 0.000, 0.733]], "e_above_lowest_polymorph_ev_per_fu": 1.25, "space_group": "P4/mmm (123)", "formation_enthalpy_0k_kcal_per_mol_atoms": -4.999, "total_energy_ev_per_cell": -11.3, "total_magnetization_mub_per_fu": 0.0}

{"formula": "TbYRh", "functional": "GGA-PBE", "state": "relaxed", "lattice_angstrom": [[3.467, 0.000, 0.000], [0.000, 3.467, 0.000], [0.000, 0.000, 12.679]], "species": ["Tb", "Tb", "Y", "Y", "Rh", "Rh"], "frac_coords": [[0.000, 0.000, 0.000], [0.500, 0.500, 0.500], [0.000, 0.000, 0.261], [0.500, 0.500, 0.761], [0.000, 0.000, 0.629], [0.500, 0.500, 0.129]], "e_above_lowest_polymorph_ev_per_fu": 0.25, "space_group": "I4mm (107)", "formation_enthalpy_0k_kcal_per_mol_atoms": -12.448, "total_energy_ev_per_cell": -40.1, "total_magnetization_mub_per_fu": 0.0}

{"formula": "Rb2CaHf3O8", "functional": "GGA-PBE", "state": "relaxed", "lattice_angstrom": [[3.281, 1.894, 6.847], [-3.281, 1.894, 6.847], [0.000, -3.789, 6.847]], "species": ["Rb", "Rb", "Ca", "Hf", "Hf", "Hf", "O", "O", "O", "O", "O", "O", "O", "O"], "frac_coords": [[0.000, 0.000, 0.000], [0.353, 0.353, 0.353], [0.835, 0.835, 0.835], [0.354, 0.354, 0.850], [0.354, 0.850, 0.354], [0.850, 0.354, 0.354], [0.077, 0.077, 0.548], [0.077, 0.548, 0.077], [0.134, 0.134, 0.134], [0.171, 0.613, 0.613], [0.548, 0.077, 0.077], [0.570, 0.570, 0.570], [0.613, 0.171, 0.613], [0.613, 0.613, 0.171]], "space_group": "R3m (160)", "e_form_raw_ev_per_atom": -3.02, "total_energy_ev_per_cell": -115.7, "total_magnetization_mub_per_fu": 0.0}

{"formula": "ZnMo2Au", "functional": "GGA-PBE", "state": "relaxed", "lattice_angstrom": [[3.698, 0.000, 0.000], [0.000, 3.698, 0.000], [0.000, 0.000, 20.021]], "species": ["Zn", "Zn", "Zn", "Zn", "Mo", "Mo", "Mo", "Mo", "Mo", "Mo", "Mo", "Mo", "Au", "Au", "Au", "Au"], "frac_coords": [[0.000, 0.000, 0.000], [0.000, 0.500, 0.250], [0.500, 0.000, 0.750], [0.500, 0.500, 0.500], [0.237, 0.250, 0.125], [0.250, 0.737, 0.375], [0.250, 0.763, 0.875], [0.263, 0.250, 0.625], [0.737, 0.750, 0.625], [0.750, 0.237, 0.875], [0.750, 0.263, 0.375], [0.763, 0.750, 0.125], [0.000, 0.000, 0.500], [0.000, 0.500, 0.750], [0.500, 0.000, 0.250], [0.500, 0.500, 0.000]], "space_group": "I-42d (122)", "formation_enthalpy_0k_kcal_per_mol_atoms": 11.479, "total_energy_ev_per_cell": -96.9, "total_magnetization_mub_per_fu": 0.0}

{"formula": "NbSiIr", "functional": "GGA-PBE", "state": "relaxed", "lattice_angstrom": [[6.461, 0.000, 0.000], [0.000, 3.817, 0.000], [0.000, 0.000, 7.331]], "species": ["Nb", "Nb", "Nb", "Nb", "Si", "Si", "Si", "Si", "Ir", "Ir", "Ir", "Ir"], "frac_coords": [[0.024, 0.250, 0.172], [0.476, 0.750, 0.672], [0.524, 0.250, 0.328], [0.976, 0.750, 0.828], [0.231, 0.750, 0.376], [0.269, 0.250, 0.876], [0.731, 0.750, 0.124], [0.769, 0.250, 0.624], [0.146, 0.250, 0.563], [0.354, 0.750, 0.063], [0.646, 0.250, 0.937], [0.854, 0.750, 0.437]], "space_group": "Pnma (62)", "e_form_raw_ev_per_atom": -0.86, "total_energy_ev_per_cell": -107.8, "total_magnetization_mub_per_fu": 0.0}

{"formula": "Na4Cd3Au2", "functional": "GGA-PBE", "state": "relaxed", "lattice_angstrom": [[7.681, -2.371, 0.000], [7.681, 2.371, 0.000], [-1.195, 0.000, 6.287]], "species": ["Na", "Na", "Na", "Na", "Cd", "Cd", "Cd", "Au", "Au"], "frac_coords": [[0.083, 0.083, 0.369], [0.283, 0.283, 0.802], [0.717, 0.717, 0.198], [0.917, 0.917, 0.631], [0.369, 0.369, 0.312], [0.500, 0.500, 0.000], [0.631, 0.631, 0.688], [0.099, 0.099, 0.907], [0.901, 0.901, 0.093]], "space_group": "C2/m (12)", "formation_enthalpy_0k_kcal_per_mol_atoms": -4.782, "total_energy_ev_per_cell": -16.4, "total_magnetization_mub_per_fu": 0.0}

{"formula": "Mn2AlCr", "functional": "GGA-PBE", "state": "relaxed", "lattice_angstrom": [[2.615, 0.000, 0.000], [-1.307, 2.264, 0.000], [0.000, 0.000, 24.482]], "species": ["Mn", "Mn", "Mn", "Mn", "Mn", "Mn", "Al", "Al", "Al", "Cr", "Cr", "Cr"], "frac_coords": [[0.000, 0.000, 0.246], [0.000, 0.000, 0.754], [0.333, 0.667, 0.420], [0.333, 0.667, 0.913], [0.667, 0.333, 0.087], [0.667, 0.333, 0.580], [0.000, 0.000, 0.000], [0.333, 0.667, 0.667], [0.667, 0.333, 0.333], [0.000, 0.000, 0.500], [0.333, 0.667, 0.167], [0.667, 0.333, 0.833]], "space_group": "R-3m (166)", "formation_enthalpy_0k_kcal_per_mol_atoms": 2.243, "total_energy_ev_per_cell": -93.9, "total_magnetization_mub_per_fu": 1.1}

{"formula": "PmThSb", "functional": "GGA-PBE", "state": "relaxed", "lattice_angstrom": [[4.092, 0.000, 0.000], [0.000, 4.092, 0.000], [0.000, 0.000, 10.905]], "species": ["Pm", "Pm", "Th", "Th", "Sb", "Sb"], "frac_coords": [[0.000, 0.000, 0.000], [0.500, 0.500, 0.500], [0.000, 0.000, 0.300], [0.500, 0.500, 0.800], [0.000, 0.000, 0.645], [0.500, 0.500, 0.145]], "e_above_lowest_polymorph_ev_per_fu": 0.81, "space_group": "I4mm (107)", "e_form_raw_ev_per_atom": -0.53, "total_energy_ev_per_cell": -35.8, "total_magnetization_mub_per_fu": 0.0}

{"formula": "Al2ReI", "functional": "GGA-PBE", "state": "relaxed", "lattice_angstrom": [[6.373, 0.000, 0.000], [0.000, 6.373, 0.000], [0.000, 0.000, 11.819]], "species": ["Al", "Al", "Al", "Al", "Al", "Al", "Al", "Al", "Re", "Re", "Re", "Re", "I", "I", "I", "I"], "frac_coords": [[0.180, 0.250, 0.125], [0.250, 0.680, 0.375], [0.250, 0.820, 0.875], [0.320, 0.250, 0.625], [0.680, 0.750, 0.625], [0.750, 0.180, 0.875], [0.750, 0.320, 0.375], [0.820, 0.750, 0.125], [0.000, 0.000, 0.000], [0.000, 0.500, 0.250], [0.500, 0.000, 0.750], [0.500, 0.500, 0.500], [0.000, 0.000, 0.500], [0.000, 0.500, 0.750], [0.500, 0.000, 0.250], [0.500, 0.500, 0.000]], "e_above_lowest_polymorph_ev_per_fu": 0.19, "space_group": "I-42d (122)", "e_form_raw_ev_per_atom": 1.00, "total_energy_ev_per_cell": -70.0, "total_magnetization_mub_per_fu": 0.0}

{"formula": "KAl2Rh", "functional": "GGA-PBE", "state": "relaxed", "lattice_angstrom": [[5.601, 0.000, 0.000], [0.000, 7.443, 0.000], [-0.009, 0.000, 4.505]], "species": ["K", "K", "Al", "Al", "Al", "Al", "Rh", "Rh"], "frac_coords": [[0.000, 0.000, 0.000], [0.500, 0.500, 0.000], [0.000, 0.344, 0.500], [0.000, 0.574, 0.000], [0.500, 0.074, 0.000], [0.500, 0.844, 0.500], [0.000, 0.677, 0.500], [0.500, 0.177, 0.500]], "e_above_lowest_polymorph_ev_per_fu": 2.09, "space_group": "C2 (5)", "formation_enthalpy_0k_kcal_per_mol_atoms": 4.294, "total_energy_ev_per_cell": -30.4, "total_magnetization_mub_per_fu": 0.0}

{"formula": "RbTl2PdCl5", "functional": "GGA-PBE", "state": "relaxed", "lattice_angstrom": [[-4.227, 4.227, 7.833], [4.227, -4.227, 7.833], [4.227, 4.227, -7.833]], "species": ["Rb", "Rb", "Tl", "Tl", "Tl", "Tl", "Pd", "Pd", "Cl", "Cl", "Cl", "Cl", "Cl", "Cl", "Cl", "Cl", "Cl", "Cl"], "frac_coords": [[0.250, 0.250, 0.000], [0.750, 0.750, 0.000], [0.166, 0.666, 0.831], [0.334, 0.166, 0.500], [0.666, 0.834, 0.500], [0.834, 0.334, 0.169], [0.250, 0.750, 0.500], [0.750, 0.250, 0.500], [0.000, 0.000, 0.000], [0.001, 0.211, 0.500], [0.211, 0.711, 0.209], [0.289, 0.499, 0.500], [0.499, 0.999, 0.209], [0.500, 0.500, 0.000], [0.501, 0.001, 0.791], [0.711, 0.501, 0.500], [0.789, 0.289, 0.791], [0.999, 0.789, 0.500]], "space_group": "I4/mcm (140)", "e_form_raw_ev_per_atom": -0.93, "total_energy_ev_per_cell": -57.0, "total_magnetization_mub_per_fu": 2.0}

{"formula": "ZnIrSe", "functional": "GGA-PBE", "state": "relaxed", "lattice_angstrom": [[2.962, 0.000, 0.000], [0.000, 2.962, 0.000], [0.000, 0.000, 11.489]], "species": ["Zn", "Zn", "Ir", "Ir", "Se", "Se"], "frac_coords": [[0.000, 0.000, 0.000], [0.500, 0.500, 0.500], [0.000, 0.000, 0.356], [0.500, 0.500, 0.856], [0.000, 0.000, 0.710], [0.500, 0.500, 0.210]], "e_above_lowest_polymorph_ev_per_fu": 0.35, "space_group": "I4mm (107)", "e_form_raw_ev_per_atom": 0.18, "total_energy_ev_per_cell": -26.2, "total_magnetization_mub_per_fu": 0.0}

{"formula": "Ac4GeSe2N", "functional": "GGA-PBE", "state": "relaxed", "lattice_angstrom": [[7.502, 0.000, 0.000], [0.000, 4.354, 0.000], [-2.526, 0.000, 7.332]], "species": ["Ac", "Ac", "Ac", "Ac", "Ge", "Se", "Se", "N"], "frac_coords": [[0.224, 0.000, 0.217], [0.237, 0.500, 0.773], [0.763, 0.500, 0.227], [0.776, 0.000, 0.783], [0.500, 0.000, 0.000], [0.000, 0.000, 0.500], [0.500, 0.500, 0.500], [0.000, 0.500, 0.000]], "space_group": "P2/m (10)", "e_form_raw_ev_per_atom": -1.35, "total_energy_ev_per_cell": -47.2, "total_magnetization_mub_per_fu": 0.0}